Below is BaRe2Ag after structural relaxation, with properties calculated at the PBE level.

abc: 10.916 10.916 10.916
angles: 15.34 15.34 15.34
Atoms (fractional coordinates):
Re  0.989  0.989  0.989
Re  0.511  0.511  0.511
Ba  0.750  0.750  0.750
Ag  0.250  0.250  0.250

Values from the calculation:
- excess energy over the best structure of this formula in the dataset (meV/atom) = 840
- magnetization (μB/cell) = 0.0
- formation energy from the elements (meV per atom) = 1372